[1]
The following is a DFT calculation (PBE) of a relaxed CdCu2Au4 crystal.

## Properties
E above lowest polymorph	0.000	eV/atom
ΔE_f	-0.024	eV/atom

```
CdCu2Au4
1.0
2.2769 1.3146 6.6189
-2.2769 1.3146 6.6189
0.0000 -2.6291 6.6189
Cd Cu Au
1 2 4
direct
0.0000 0.0000 0.0000
0.2779 0.2779 0.2779
0.7221 0.7221 0.7221
0.1415 0.1415 0.1415
0.4149 0.4149 0.4149
0.5851 0.5851 0.5851
0.8585 0.8585 0.8585
```

---

[2]
The following is a DFT calculation (PBE) of a relaxed CaNiMo2Ir crystal.

## Properties
ΔE_f	0.982	eV/atom

```
CaNiMo2Ir
1.0
4.4924 0.0000 0.0000
0.0000 4.4924 0.0000
0.0000 0.0000 4.7877
Ca Ni Mo Ir
1 1 2 1
direct
0.0000 0.0000 0.0000
0.5000 0.5000 0.5000
0.0000 0.5000 0.5000
0.5000 0.0000 0.5000
0.5000 0.5000 0.0000
```

---

[3]
The following is a DFT calculation (PBE) of a relaxed BaZr2Ru crystal.

## Properties
E above lowest polymorph	0.587	eV/atom
ΔE_f	0.666	eV/atom

```
BaZr2Ru
1.0
6.1237 0.0000 0.0000
0.0000 9.6005 0.0000
-1.0902 0.0000 3.0906
Ba Zr Ru
2 4 2
direct
0.0000 0.0000 0.0000
0.5000 0.5000 0.0000
0.2500 0.2500 0.5000
0.2500 0.7500 0.5000
0.7500 0.2500 0.5000
0.7500 0.7500 0.5000
0.0000 0.5000 0.0000
0.5000 0.0000 0.0000
```

---

[4]
The following is a DFT calculation (PBE) of a relaxed Cs2KRbP crystal.

## Properties
E above lowest polymorph	0.000	eV/atom
ΔE_f	-0.003	eV/atom

```
Cs2KRbP
1.0
7.1489 0.0000 0.0000
0.0000 7.1489 0.0000
0.0000 0.0000 6.5596
Cs K Rb P
2 1 1 1
direct
0.0000 0.5000 0.0000
0.5000 0.0000 0.0000
0.0000 0.0000 0.5000
0.5000 0.5000 0.5000
0.0000 0.0000 0.0000
```

---

[5]
The following is a DFT calculation (PBE) of a relaxed Sr3SmAu4 crystal.

## Properties
ΔE_f	-0.722	eV/atom

```
Sr3SmAu4
1.0
7.5645 0.0000 0.0000
0.0000 7.5645 0.0000
0.0000 0.0000 7.5645
Sr Sm Au
6 2 8
direct
0.0000 0.0000 0.5000
0.0000 0.5000 0.0000
0.0000 0.5000 0.5000
0.5000 0.0000 0.0000
0.5000 0.0000 0.5000
0.5000 0.5000 0.0000
0.0000 0.0000 0.0000
0.5000 0.5000 0.5000
0.2500 0.2500 0.2500
0.2500 0.2500 0.7500
0.2500 0.7500 0.2500
0.2500 0.7500 0.7500
0.7500 0.2500 0.2500
0.7500 0.2500 0.7500
0.7500 0.7500 0.2500
0.7500 0.7500 0.7500
```

---

[6]
The following is a DFT calculation (PBE) of a relaxed La8NiRh2 crystal.

## Properties
ΔE_f	-0.293	eV/atom

```
La8NiRh2
1.0
4.0355 -6.8249 0.0000
4.0355 6.8249 0.0000
-2.7031 0.0000 6.0636
La Ni Rh
8 1 2
direct
0.0000 0.0000 0.0000
0.1081 0.5130 0.1960
0.2366 0.9736 0.5662
0.4286 0.6983 0.8167
0.5130 0.1081 0.1960
0.6473 0.6473 0.3808
0.6983 0.4286 0.8167
0.9736 0.2366 0.5662
0.3392 0.3392 0.4384
0.0218 0.6486 0.6887
0.6486 0.0218 0.6887
```

---

[7]
The following is a DFT calculation (PBE) of a relaxed Ac2CrSi2N6 crystal.

## Properties
E_form (uncorrected)	-0.76	eV/atom

```
Ac2CrSi2N6
1.0
2.8238 1.6303 5.3775
-2.8238 1.6303 5.3775
0.0000 -3.2606 5.3775
Ac Cr Si N
2 1 2 6
direct
0.2174 0.2174 0.2174
0.7826 0.7826 0.7826
0.0000 0.0000 0.0000
0.4131 0.4131 0.4131
0.5869 0.5869 0.5869
0.2419 0.2419 0.7539
0.2419 0.7539 0.2419
0.2461 0.7581 0.7581
0.7539 0.2419 0.2419
0.7581 0.2461 0.7581
0.7581 0.7581 0.2461
```

---

[8]
The following is a DFT calculation (PBE) of a relaxed PmEr3Tm crystal.

## Properties
E above lowest polymorph	0.000	eV/atom
ΔE_f	0.006	eV/atom

```
PmEr3Tm
1.0
6.2481 0.0000 0.0000
0.0000 5.6028 0.0000
-3.1170 0.0000 9.0155
Pm Er Tm
2 6 2
direct
0.0678 0.2500 0.2999
0.9322 0.7500 0.7001
0.1345 0.7500 0.0982
0.2684 0.2500 0.7022
0.3357 0.7500 0.5009
0.6643 0.2500 0.4991
0.7316 0.7500 0.2978
0.8655 0.2500 0.9018
0.4664 0.2500 0.0988
0.5336 0.7500 0.9012
```

---

[9]
The following is a DFT calculation (PBE) of a relaxed Nd2SnAu3 crystal.

## Properties
E above lowest polymorph	0.000	eV/atom
ΔE_f	-0.756	eV/atom

```
Nd2SnAu3
1.0
0.0000 4.7998 8.3256
3.6486 0.0000 8.3256
3.6486 4.7998 0.0000
Nd Sn Au
4 2 6
direct
0.2362 0.7638 0.7638
0.2500 0.2500 0.2500
0.7500 0.7500 0.7500
0.7638 0.2362 0.2362
0.3352 0.3352 0.6648
0.6648 0.6648 0.3352
0.1673 0.6655 0.3345
0.1685 0.1685 0.8315
0.3345 0.8327 0.1673
0.6655 0.1673 0.8327
0.8315 0.8315 0.1685
0.8327 0.3345 0.6655
```

---

[10]
The following is a DFT calculation (PBE) of a relaxed Li2NpAgI8 crystal.

## Properties
E_form (uncorrected)	-0.62	eV/atom

```
Li2NpAgI8
1.0
-4.7587 4.7587 5.1329
4.7587 -4.7587 5.1329
4.7587 4.7587 -5.1329
Li Np Ag I
2 1 1 8
direct
0.0000 0.0000 0.0000
0.7500 0.2500 0.5000
0.5000 0.5000 0.0000
0.2500 0.7500 0.5000
0.1331 0.4369 0.6963
0.2157 0.0257 0.8100
0.2157 0.4057 0.1900
0.5631 0.2594 0.6963
0.5631 0.8669 0.3037
0.5943 0.7843 0.8100
0.7406 0.4369 0.3037
0.9743 0.7843 0.1900
```

---

[11]
The following is a DFT calculation (PBE) of a relaxed YTm2Fe9 crystal.

## Properties
ΔE_f	-0.104	eV/atom

```
YTm2Fe9
1.0
2.5315 1.4616 8.0161
-2.5315 1.4616 8.0161
0.0000 -2.9231 8.0161
Y Tm Fe
1 2 9
direct
0.0000 0.0000 0.0000
0.1422 0.1422 0.1422
0.8578 0.8578 0.8578
0.0818 0.5825 0.5825
0.3329 0.3329 0.3329
0.4175 0.4175 0.9182
0.4175 0.9182 0.4175
0.5000 0.5000 0.5000
0.5825 0.0818 0.5825
0.5825 0.5825 0.0818
0.6671 0.6671 0.6671
0.9182 0.4175 0.4175
```

---

[12]
The following is a DFT calculation (PBE) of a relaxed BaAsP2O crystal.

## Properties
E_form (uncorrected)	1.01	eV/atom
E above lowest polymorph	1.244	eV/atom

```
BaAsP2O
1.0
6.1416 0.0000 0.0000
0.0000 6.1416 0.0000
0.0000 0.0000 4.4205
Ba As P O
1 1 2 1
direct
0.0000 0.0000 0.0000
0.5000 0.5000 0.5000
0.0000 0.5000 0.0000
0.5000 0.0000 0.0000
0.0000 0.0000 0.5000
```

---

[13]
The following is a DFT calculation (PBE) of a relaxed DyEr5Sc crystal.

## Properties
E above lowest polymorph	0.904	eV/atom
ΔE_f	0.970	eV/atom

```
DyEr5Sc
1.0
7.8929 0.0000 0.0000
0.0000 11.5585 0.0000
0.0000 0.0000 5.9242
Dy Er Sc
2 10 2
direct
0.0000 0.0000 0.0000
0.5000 0.5000 0.5000
0.0000 0.2582 0.0070
0.0000 0.5000 0.6964
0.0000 0.7418 0.0070
0.1815 0.0000 0.5012
0.3185 0.5000 0.0012
0.5000 0.0000 0.1964
0.5000 0.2418 0.5070
0.5000 0.7582 0.5070
0.6815 0.5000 0.0012
0.8185 0.0000 0.5012
0.0000 0.5000 0.2182
0.5000 0.0000 0.7182
```

---

[14]
The following is a DFT calculation (PBE) of a relaxed SrScPIr2 crystal.

## Properties
ΔE_f	-0.191	eV/atom

```
SrScPIr2
1.0
4.6152 0.0000 0.0000
0.0000 4.6152 0.0000
0.0000 0.0000 4.8049
Sr Sc P Ir
1 1 1 2
direct
0.0000 0.0000 0.0000
0.5000 0.5000 0.0000
0.5000 0.5000 0.5000
0.0000 0.5000 0.5000
0.5000 0.0000 0.5000
```

---

[15]
The following is a DFT calculation (PBE) of a relaxed LiY2ThTl4 crystal.

## Properties
ΔE_f	-0.269	eV/atom

```
LiY2ThTl4
1.0
2.6381 1.5231 9.0077
-2.6381 1.5231 9.0077
0.0000 -3.0462 9.0077
Li Y Th Tl
1 2 1 4
direct
0.0000 0.0000 0.0000
0.2544 0.2544 0.2544
0.7456 0.7456 0.7456
0.5000 0.5000 0.5000
0.1207 0.1207 0.1207
0.3712 0.3712 0.3712
0.6288 0.6288 0.6288
0.8793 0.8793 0.8793
```

---

[16]
The following is a DFT calculation (PBE) of a relaxed Nb14OsRu crystal.

## Properties
ΔE_f	-0.134	eV/atom

```
Nb14OsRu
1.0
3.2706 -4.6581 0.0000
3.2706 4.6581 0.0000
0.0000 0.0000 9.2541
Nb Os Ru
14 1 1
direct
0.0000 0.0000 0.0000
0.0000 0.5000 0.0000
0.0000 0.5000 0.5000
0.2499 0.2499 0.2598
0.2499 0.2499 0.7402
0.2496 0.7504 0.2535
0.2496 0.7504 0.7465
0.5000 0.0000 0.0000
0.5000 0.0000 0.5000
0.5000 0.5000 0.0000
0.7504 0.2496 0.2535
0.7504 0.2496 0.7465
0.7501 0.7501 0.2598
0.7501 0.7501 0.7402
0.0000 0.0000 0.5000
0.5000 0.5000 0.5000
```

---

[17]
The following is a DFT calculation (PBE) of a relaxed PBr crystal.

## Properties
E_form (uncorrected)	-0.07	eV/atom
E above lowest polymorph	0.064	eV/atom

```
PBr
1.0
4.2626 0.0000 0.0000
-2.1313 3.6915 0.0000
0.0000 0.0000 7.8541
P Br
2 2
direct
0.3333 0.6667 0.4927
0.6667 0.3333 0.5073
0.3333 0.6667 0.2064
0.6667 0.3333 0.7936
```

---

[18]
The following is a DFT calculation (PBE) of a relaxed Br2Cl crystal.

## Properties
E_form (uncorrected)	0.04	eV/atom
E above lowest polymorph	0.000	eV/atom

```
Br2Cl
1.0
4.6585 0.0000 0.0000
0.0000 23.7168 0.0000
0.0000 0.0000 4.7240
Br Cl
8 4
direct
0.0000 0.0162 0.2500
0.0000 0.3451 0.2500
0.0000 0.6549 0.7500
0.0000 0.9838 0.7500
0.5000 0.1549 0.7500
0.5000 0.4838 0.7500
0.5000 0.5162 0.2500
0.5000 0.8451 0.2500
0.0000 0.3180 0.7500
0.0000 0.6820 0.2500
0.5000 0.1820 0.2500
0.5000 0.8180 0.7500
```

---

[19]
The following is a DFT calculation (PBE) of a relaxed TlCd2Se3 crystal.

## Properties
E_form (uncorrected)	-0.45	eV/atom

```
TlCd2Se3
1.0
3.8675 -6.7532 0.0000
3.8675 6.7532 0.0000
-2.6724 0.0000 7.4131
Tl Cd Se
2 4 6
direct
0.0922 0.9078 0.5000
0.9078 0.0922 0.0000
0.2545 0.7483 0.0069
0.4229 0.5849 0.5076
0.5849 0.4229 0.0076
0.7483 0.2545 0.5069
0.1360 0.6071 0.6423
0.3135 0.4795 0.1425
0.4795 0.3135 0.6425
0.6071 0.1360 0.1423
0.7851 0.9609 0.6139
0.9609 0.7851 0.1139
```

---

[20]
The following is a DFT calculation (PBE) of a relaxed Ta2GaAs crystal.

## Properties
E above lowest polymorph	0.000	eV/atom
ΔE_f	0.025	eV/atom

```
Ta2GaAs
1.0
6.4350 0.0000 0.0000
0.0000 6.4350 0.0000
0.0000 0.0000 6.4350
Ta Ga As
8 4 4
direct
0.2500 0.2500 0.2500
0.2500 0.2500 0.7500
0.2500 0.7500 0.2500
0.2500 0.7500 0.7500
0.7500 0.2500 0.2500
0.7500 0.2500 0.7500
0.7500 0.7500 0.2500
0.7500 0.7500 0.7500
0.0000 0.0000 0.0000
0.0000 0.5000 0.5000
0.5000 0.0000 0.5000
0.5000 0.5000 0.0000
0.0000 0.0000 0.5000
0.0000 0.5000 0.0000
0.5000 0.0000 0.0000
0.5000 0.5000 0.5000
```

---

[21]
The following is a DFT calculation (PBE) of a relaxed Mg12Cd2Pb5 crystal.

## Properties
E above lowest polymorph	0.000	eV/atom
ΔE_f	-0.011	eV/atom

```
Mg12Cd2Pb5
1.0
7.1159 -4.4939 0.0000
7.1159 4.4939 0.0000
-0.0516 0.0000 7.4456
Mg Cd Pb
12 2 5
direct
0.0537 0.0537 0.3064
0.0955 0.6800 0.3592
0.1568 0.5355 0.7619
0.3200 0.9045 0.6408
0.4076 0.4076 0.1091
0.4645 0.8432 0.2381
0.5355 0.1568 0.7619
0.5924 0.5924 0.8909
0.6800 0.0955 0.3592
0.8432 0.4645 0.2381
0.9045 0.3200 0.6408
0.9463 0.9463 0.6936
0.2118 0.7882 0.0000
0.7882 0.2118 0.0000
0.1894 0.1894 0.9553
0.2606 0.2606 0.4238
0.5000 0.5000 0.5000
0.7394 0.7394 0.5762
0.8106 0.8106 0.0447
```

---

[22]
The following is a DFT calculation (PBE) of a relaxed Mn2VSnC crystal.

## Properties
ΔE_f	-0.067	eV/atom

```
Mn2VSnC
1.0
3.8975 0.0000 0.0000
0.0000 3.8975 0.0000
0.0000 0.0000 4.1494
Mn V Sn C
2 1 1 1
direct
0.0000 0.5000 0.0000
0.5000 0.0000 0.0000
0.0000 0.0000 0.5000
0.5000 0.5000 0.5000
0.0000 0.0000 0.0000
```

---

[23]
The following is a DFT calculation (PBE) of a relaxed RbSn2SbPt crystal.

## Properties
E_form (uncorrected)	0.88	eV/atom

```
RbSn2SbPt
1.0
5.6656 0.0000 0.0000
0.0000 5.6656 0.0000
0.0000 0.0000 6.4664
Rb Sn Sb Pt
1 2 1 1
direct
0.0000 0.0000 0.0000
0.0000 0.5000 0.5000
0.5000 0.0000 0.5000
0.0000 0.0000 0.5000
0.5000 0.5000 0.0000
```

---

[24]
The following is a DFT calculation (PBE) of a relaxed NaHfI2 crystal.

## Properties
E_form (uncorrected)	0.00	eV/atom
E above lowest polymorph	0.025	eV/atom

```
NaHfI2
1.0
8.1609 0.0000 0.0000
0.0000 8.1609 0.0000
0.0000 0.0000 8.2194
Na Hf I
4 4 8
direct
0.0000 0.0000 0.0000
0.0000 0.5000 0.2500
0.5000 0.0000 0.7500
0.5000 0.5000 0.5000
0.0000 0.0000 0.5000
0.0000 0.5000 0.7500
0.5000 0.0000 0.2500
0.5000 0.5000 0.0000
0.2215 0.2500 0.6250
0.2500 0.7215 0.8750
0.2500 0.7785 0.3750
0.2785 0.2500 0.1250
0.7215 0.7500 0.1250
0.7500 0.2215 0.3750
0.7500 0.2785 0.8750
0.7785 0.7500 0.6250
```

---

DFT total energy, record by record: -3.20; -6.68; -6.41; -1.84; -3.58; -5.74; -7.91; -4.58; -4.65; -3.29; -7.73; -3.46; -3.85; -6.42; -4.23; -10.23; -3.61; -1.69; -2.89; -7.82; -2.09; -8.20; -2.94; -3.59 eV per atom
Total moment, record by record: 0.00; 0.00; 0.00; 0.00; 0.00; 0.00; 2.00; 0.00; 0.00; 2.68; 16.29; 2.23; 0.00; 0.87; 0.00; 0.00; 0.00; 0.00; 0.00; 0.00; 0.00; 4.01; 0.00; 2.81 μB/f.u.